# 1
Compound: LiTi3Sb
Source: Alexandria
Functional: meta-GGA SCAN
Structure: PBEsol geometry

Crystal system: cubic
Raw formation energy in meV per atom: 866.6
V in A^3/atom: 25.5

Structure (POSCAR):
```
LiTi3Sb
1.0
5.032 0.000 0.000
0.000 5.032 0.000
0.000 0.000 5.032
Li Ti Sb
1 3 1
direct
0.000 0.000 0.000
0.000 0.500 0.500
0.500 0.000 0.500
0.500 0.500 0.000
0.500 0.500 0.500
```



# 2
Compound: Mn2AgAs
Source: Alexandria
Functional: meta-GGA SCAN
Structure: PBEsol geometry

DFT formation energy in eV per atom: -0.017
Crystal system: orthorhombic
V in A^3/atom: 14.1

Structure (POSCAR):
```
Mn2AgAs
1.0
-1.776 2.109 3.772
1.776 -2.109 3.772
1.776 2.109 -3.772
Mn Ag As
2 1 1
direct
0.229 0.229 0.000
0.771 0.771 0.000
0.500 0.000 0.500
0.000 0.500 0.500
```